{
  "formula": "AcCeS2",
  "functional": "GGA-PBE",
  "state": "relaxed",
  "cell": [[2.0809, 1.2014, 6.8532], [-2.0809, 1.2014, 6.8532], [0.0000, -2.4028, 6.8532]],
  "species": ["Ac", "Ce", "S", "S"],
  "frac_coords": [[0.0000, 0.0000, 0.0000], [0.5000, 0.5000, 0.5000], [0.2441, 0.2441, 0.2441], [0.7559, 0.7559, 0.7559]],
  "dft_energy_ev_per_fu": -26.31,
  "volume_a3_per_atom": 25.700,
  "relative_energy_ev_per_atom": 0.0000,
  "sg": "R-3m (166)",
  "e_form_raw_mev_per_atom": -2004
}

{
  "formula": "AcCeSeS",
  "functional": "GGA-PBE",
  "state": "relaxed",
  "cell": [[2.1158, 1.2216, 7.0388], [-2.1158, 1.2216, 7.0388], [0.0000, -2.4431, 7.0388]],
  "species": ["Ac", "Ce", "Se", "S"],
  "frac_coords": [[0.0000, 0.0000, 0.0000], [0.5103, 0.5103, 0.5103], [0.7608, 0.7608, 0.7608], [0.2494, 0.2494, 0.2494]],
  "dft_energy_ev_per_fu": -25.31,
  "volume_a3_per_atom": 27.289,
  "sg": "R3m (160)",
  "e_form_raw_mev_per_atom": -1915
}

{
  "formula": "AcCeSm2S4",
  "functional": "GGA-PBE",
  "state": "relaxed",
  "cell": [[7.0959, 0.0000, 0.0000], [0.0000, 4.0694, 0.0000], [-2.3432, 0.0000, 6.7176]],
  "species": ["Ac", "Ce", "Sm", "Sm", "S", "S", "S", "S"],
  "frac_coords": [[0.0000, 0.0000, 0.0000], [0.5000, 0.5000, 0.0000], [0.0000, 0.5000, 0.5000], [0.5000, 0.0000, 0.5000], [0.2546, 0.0000, 0.7415], [0.2626, 0.5000, 0.2647], [0.7374, 0.5000, 0.7353], [0.7454, 0.0000, 0.2585]],
  "dft_energy_ev_per_fu": -52.06,
  "volume_a3_per_atom": 24.247,
  "sg": "P2/m (10)",
  "e_form_raw_mev_per_atom": -2008
}